A relaxed K2LaCrO4 crystal, computed with GGA+U.

```
data_K2LaCrO4
_space_group_name_H-M_alt 'P 1'
_space_group_IT_number 1
_space_group_name_Hall 'P 1'
_cell_length_a 3.456
_cell_length_b 5.904
_cell_length_c 6.518
_cell_angle_alpha 108.11
_cell_angle_beta 90.00
_cell_angle_gamma 90.00
loop_
_atom_site_label
_atom_site_fract_x
_atom_site_fract_y
_atom_site_fract_z
O1 0.000 0.233 0.815
O2 0.000 0.767 0.185
O3 0.500 0.200 0.179
O4 0.500 0.800 0.821
La1 0.500 0.500 0.000
K1 0.000 0.500 0.500
K2 0.500 0.000 0.500
Cr1 0.000 0.000 0.000
```

Properties
crystal system	monoclinic
symmetry	P2/m, No. 10
M_tot	3.00	μB per formula unit
calculated total energy	-51.20	eV per cell